# 1
Density functional theory data (PBE-GGA) for a relaxed structure of Ti2PdPbC.

```
5
Lattice="-3.890 1.461 0.842 0.309 -1.526 4.077 1.660 3.694 1.257" Properties=species:S:1:pos:R:3 pbc="T T T"
Pb -0.961 1.815 3.088
C 0.000 0.000 0.000
Pd 0.155 -0.763 2.038
Ti 0.830 1.847 0.629
Ti -1.945 0.731 0.421
```

crystal system	tetragonal
calculated formation energy	-0.25	eV per atom

***

# 2
Density functional theory data (PBE-GGA) for a relaxed structure of Co2Ni3Pt2.

```
7
Lattice="3.648 0.000 0.000 -1.824 4.107 -0.252 0.000 -0.535 5.842" Properties=species:S:1:pos:R:3 pbc="T T T"
Co 0.000 0.988 2.430
Co 1.824 2.585 3.159
Ni 0.000 1.914 4.848
Ni 0.000 0.000 0.000
Ni 1.824 1.659 0.742
Pt 1.824 0.227 4.171
Pt 0.000 3.346 1.419
```

ΔE to the lowest computed polymorph	0	meV/atom
crystal system	monoclinic
calculated formation energy	-0.08	eV per atom

***

# 3
Density functional theory data (PBE-GGA) for a relaxed structure of BeIrAu3.

```
5
Lattice="5.031 0.000 0.000 0.000 5.031 0.000 0.000 0.000 5.031" Properties=species:S:1:pos:R:3 pbc="T T T"
Be 2.516 2.516 2.516
Ir 0.000 0.000 0.000
Au 0.000 2.516 0.000
Au 0.000 0.000 2.516
Au 2.516 0.000 0.000
```

ΔE to the lowest computed polymorph	867	meV/atom
crystal system	cubic
calculated formation energy	1.45	eV per atom

***

# 4
Density functional theory data (PBE-GGA) for a relaxed structure of ErMg5Ag2.

```
8
Lattice="-2.499 2.347 0.523 -6.188 -4.078 0.237 -1.547 -0.693 7.218" Properties=species:S:1:pos:R:3 pbc="T T T"
Er 0.000 0.000 0.000
Mg -3.867 -2.385 3.728
Mg -5.364 -0.929 1.534
Mg -4.869 -1.495 6.445
Mg -6.837 -2.931 3.484
Mg -3.396 0.507 4.494
Ag -7.755 -1.927 6.090
Ag -2.478 -0.497 1.888
```

crystal system	orthorhombic
calculated formation energy	-0.15	eV per atom

***

# 5
Density functional theory data (PBE-GGA) for a relaxed structure of LiMnCo2.

```
4
Lattice="-3.279 0.901 3.026 1.864 -4.127 0.470 1.651 0.918 1.516" Properties=species:S:1:pos:R:3 pbc="T T T"
Co 0.000 0.000 0.000
Co -0.708 -1.613 1.748
Li -0.814 0.910 2.271
Mn 1.757 -1.604 0.993
```

ΔE to the lowest computed polymorph	59	meV/atom
crystal system	orthorhombic
calculated formation energy	0.21	eV per atom

***

# 6
Density functional theory data (PBE-GGA) for a relaxed structure of Dy2Zn2Si3.

```
14
Lattice="3.995 0.000 -0.952 0.000 6.797 0.000 0.138 0.000 9.432" Properties=species:S:1:pos:R:3 pbc="T T T"
Dy 0.664 1.699 2.785
Dy 3.469 5.097 5.694
Dy 3.922 1.699 7.596
Dy 0.210 5.097 0.883
Zn 2.763 6.369 2.734
Zn 1.370 0.427 5.745
Zn 1.370 2.971 5.745
Zn 2.763 3.825 2.734
Si 0.936 5.097 3.928
Si 3.196 1.699 4.552
Si 2.244 2.879 0.556
Si 1.889 3.918 7.924
Si 1.889 6.277 7.924
Si 2.244 0.520 0.556
```

formation energy without anion corrections	-0.491	eV/atom
crystal system	orthorhombic

***

# 7
Density functional theory data (PBE-GGA) for a relaxed structure of ScGa3Co.

```
5
Lattice="-2.168 -3.521 -2.930 3.474 0.850 -3.591 2.987 -3.545 2.050" Properties=species:S:1:pos:R:3 pbc="T T T"
Sc 0.000 0.000 0.000
Co 2.146 -3.108 -2.236
Ga 1.737 0.425 -1.796
Ga 1.493 -1.772 1.025
Ga -1.084 -1.761 -1.465
```

ΔE to the lowest computed polymorph	1604	meV/atom
crystal system	cubic
calculated formation energy	1.25	eV per atom

***

# 8
Density functional theory data (PBE-GGA) for a relaxed structure of YScTe2C.

```
5
Lattice="-0.819 1.814 -4.733 3.458 -2.412 -1.523 -3.163 -3.930 -0.959" Properties=species:S:1:pos:R:3 pbc="T T T"
Y 1.729 -1.206 -0.761
Sc -0.262 -2.263 -3.608
C 0.000 0.000 0.000
Te -1.581 -1.965 -0.480
Te -0.410 0.907 -2.367
```

formation energy without anion corrections	0.145	eV/atom
crystal system	tetragonal

***

# 9
Density functional theory data (PBE-GGA) for a relaxed structure of Li2SbBr.

```
4
Lattice="6.407 0.000 0.000 0.000 3.240 -0.024 0.000 0.037 4.535" Properties=species:S:1:pos:R:3 pbc="T T T"
Br 3.203 2.878 3.945
Li 0.000 2.853 3.944
Li 3.203 1.246 1.700
Sb 0.000 1.214 1.688
```

ΔE to the lowest computed polymorph	250	meV/atom
formation energy without anion corrections	-0.622	eV/atom
crystal system	monoclinic

***

# 10
Density functional theory data (PBE-GGA) for a relaxed structure of Cs2RbTlBi.

```
5
Lattice="7.445 0.000 0.000 0.000 7.445 0.000 0.000 0.000 6.084" Properties=species:S:1:pos:R:3 pbc="T T T"
Cs 0.000 3.722 0.000
Cs 3.722 0.000 0.000
Tl 0.000 0.000 0.000
Bi 0.000 0.000 3.042
Rb 3.722 3.722 3.042
```

ΔE to the lowest computed polymorph	24	meV/atom
crystal system	tetragonal
calculated formation energy	-0.04	eV per atom

***

# 11
Density functional theory data (PBE-GGA) for a relaxed structure of CsRb2Sn2.

```
5
Lattice="-5.329 2.956 -0.230 -2.841 -5.227 -1.341 -5.095 -2.403 6.295" Properties=species:S:1:pos:R:3 pbc="T T T"
Cs 0.000 0.000 0.000
Sn -4.272 -1.370 0.526
Sn -8.993 -3.304 4.199
Rb -7.255 -0.291 2.640
Rb -6.011 -4.383 2.084
```

ΔE to the lowest computed polymorph	32	meV/atom
crystal system	tetragonal
calculated formation energy	-0.11	eV per atom

***

# 12
Density functional theory data (PBE-GGA) for a relaxed structure of HfGaIN2.

```
5
Lattice="-0.041 3.188 2.491 1.686 -2.251 2.908 4.710 1.368 -1.672" Properties=species:S:1:pos:R:3 pbc="T T T"
I 2.355 0.684 -0.836
Hf 3.177 1.152 1.864
Ga 0.000 0.000 0.000
N 0.843 -1.125 1.454
N -0.021 1.594 1.246
```

ΔE to the lowest computed polymorph	1026	meV/atom
formation energy without anion corrections	1.272	eV/atom
crystal system	tetragonal

***

# 13
Density functional theory data (PBE-GGA) for a relaxed structure of Ac6Bi2SbAs3.

```
12
Lattice="4.687 0.000 0.000 0.000 9.423 0.301 -2.343 -2.757 9.884" Properties=species:S:1:pos:R:3 pbc="T T T"
Ac 0.000 6.921 6.813
Ac 2.343 4.700 3.382
Ac 2.343 -0.255 3.372
Ac 2.343 -0.317 9.881
Ac 0.000 6.983 0.304
Ac 0.000 1.966 6.803
Bi 2.343 4.446 6.786
Bi 0.000 2.220 3.398
Sb 2.343 0.000 0.000
As 2.343 4.711 0.150
As 2.343 -0.270 6.639
As 0.000 6.935 3.546
```

formation energy without anion corrections	-1.261	eV/atom
crystal system	monoclinic

***

# 14
Density functional theory data (PBE-GGA) for a relaxed structure of KThNO.

```
4
Lattice="3.712 0.000 0.000 -1.856 3.215 -0.002 -1.855 -1.074 6.608" Properties=species:S:1:pos:R:3 pbc="T T T"
K 2.207 0.837 2.346
Th -1.504 0.834 5.809
N -1.505 2.980 0.265
O 0.352 -0.238 4.591
```

formation energy without anion corrections	-1.880	eV/atom
crystal system	trigonal

***

# 15
Density functional theory data (PBE-GGA) for a relaxed structure of RhSe.

```
2
Lattice="-2.945 1.891 -0.521 0.629 -1.461 3.161 1.561 2.688 0.932" Properties=species:S:1:pos:R:3 pbc="T T T"
Rh 0.000 0.000 0.000
Se -0.973 2.118 1.173
```

formation energy without anion corrections	0.010	eV/atom
crystal system	hexagonal

***

# 16
Density functional theory data (PBE-GGA) for a relaxed structure of Pa2InBi5.

```
16
Lattice="4.578 0.000 0.000 0.000 8.240 0.000 0.000 0.000 12.837" Properties=species:S:1:pos:R:3 pbc="T T T"
Pa 2.289 5.048 2.113
Pa 2.289 3.192 10.723
Pa 2.289 7.312 8.532
Pa 2.289 0.928 4.305
In 0.000 4.120 6.418
In 0.000 0.000 0.000
Bi 0.000 0.000 6.418
Bi 0.000 4.120 0.000
Bi 0.000 7.251 2.890
Bi 0.000 0.989 9.947
Bi 0.000 5.109 9.308
Bi 0.000 3.131 3.528
Bi 2.289 5.949 5.370
Bi 2.289 2.291 7.466
Bi 2.289 6.411 11.788
Bi 2.289 1.829 1.048
```

crystal system	orthorhombic
calculated formation energy	-0.10	eV per atom

***

# 17
Density functional theory data (PBE-GGA) for a relaxed structure of TiTlIN2.

```
5
Lattice="4.232 0.000 0.000 0.000 4.232 0.000 0.000 0.000 6.072" Properties=species:S:1:pos:R:3 pbc="T T T"
I 0.000 0.000 3.036
Tl 0.000 0.000 0.000
N 0.000 2.116 0.000
N 2.116 0.000 0.000
Ti 2.116 2.116 3.036
```

ΔE to the lowest computed polymorph	1488	meV/atom
formation energy without anion corrections	1.914	eV/atom
crystal system	tetragonal

***

# 18
Density functional theory data (PBE-GGA) for a relaxed structure of MoRu.

```
4
Lattice="-0.072 3.181 -0.325 -2.101 0.198 2.403 4.504 0.501 3.897" Properties=species:S:1:pos:R:3 pbc="T T T"
Mo 4.432 0.493 3.835
Mo 0.111 1.823 2.075
Ru 2.140 0.238 1.852
Ru 2.403 2.077 4.058
```

crystal system	tetragonal
calculated formation energy	0.20	eV per atom

***

# 19
Density functional theory data (PBE-GGA) for a relaxed structure of Ac2BiPd9.

```
12
Lattice="5.508 0.000 0.000 2.754 4.770 0.000 2.754 1.590 9.176" Properties=species:S:1:pos:R:3 pbc="T T T"
Ac 8.262 4.770 3.661
Ac 2.754 1.590 5.515
Bi 0.000 0.000 0.000
Pd 8.262 4.770 9.157
Pd 2.754 1.590 0.019
Pd 5.508 3.180 4.588
Pd 4.125 2.382 2.317
Pd 6.891 2.382 2.317
Pd 5.508 4.777 2.317
Pd 6.891 3.978 6.860
Pd 5.508 1.583 6.860
Pd 4.125 3.978 6.860
```

ΔE to the lowest computed polymorph	89	meV/atom
crystal system	trigonal
calculated formation energy	-0.47	eV per atom

***

# 20
Density functional theory data (PBE-GGA) for a relaxed structure of NaAg3S2.

```
12
Lattice="4.176 0.000 0.000 -2.088 8.301 -1.210 0.000 -4.865 8.337" Properties=species:S:1:pos:R:3 pbc="T T T"
Na 2.088 5.902 -0.802
Na 0.000 -2.466 7.929
Ag 0.000 2.080 4.926
Ag 2.088 4.117 3.763
Ag 2.088 -1.581 5.340
Ag 0.000 5.016 1.787
Ag 0.000 -0.682 3.364
Ag 2.088 1.356 2.201
S 0.000 4.464 5.268
S 2.088 -1.028 1.859
S 2.088 3.574 1.265
S 0.000 -0.138 5.862
```

formation energy without anion corrections	-0.312	eV/atom
crystal system	monoclinic

***

# 21
Density functional theory data (PBE-GGA) for a relaxed structure of Ga2Ag2Bi.

```
5
Lattice="-3.314 1.879 1.311 -2.250 -2.234 -2.486 -3.489 -4.718 4.134" Properties=species:S:1:pos:R:3 pbc="T T T"
Ga -4.793 -1.509 2.428
Ga -4.261 -3.565 0.530
Bi 0.000 0.000 0.000
Ag -2.934 -1.153 0.427
Ag -6.119 -3.920 2.532
```

ΔE to the lowest computed polymorph	0	meV/atom
crystal system	tetragonal
calculated formation energy	0.06	eV per atom

***

# 22
Density functional theory data (PBE-GGA) for a relaxed structure of ZrHg2Cl8.

```
11
Lattice="7.004 0.000 0.000 -3.502 6.150 -1.558 0.000 -0.768 9.634" Properties=species:S:1:pos:R:3 pbc="T T T"
Zr 0.000 0.000 0.000
Hg 3.502 3.654 5.081
Hg 0.000 1.729 2.995
Cl 5.295 1.668 0.538
Cl 1.708 1.668 0.538
Cl -1.793 3.715 7.538
Cl 0.000 3.839 3.951
Cl 1.793 3.715 7.538
Cl 3.502 5.488 0.996
Cl 0.000 -0.106 7.080
Cl 3.502 1.543 4.125
```

formation energy without anion corrections	-1.074	eV/atom
crystal system	monoclinic

***

# 23
Density functional theory data (PBE-GGA) for a relaxed structure of CaAc3Pr3.

```
14
Lattice="6.241 0.000 0.000 0.000 8.896 -5.136 0.000 0.000 10.272" Properties=species:S:1:pos:R:3 pbc="T T T"
Ca 4.680 2.965 5.136
Ca 1.560 5.930 0.000
Ac 4.680 1.774 1.474
Ac 4.680 0.389 7.998
Ac 4.680 6.732 5.935
Ac 1.560 7.121 3.662
Ac 1.560 8.506 -2.862
Ac 1.560 2.164 -0.800
Pr 4.680 8.025 -0.703
Pr 4.680 4.274 -1.462
Pr 4.680 5.492 2.165
Pr 1.560 0.871 5.839
Pr 1.560 4.621 6.598
Pr 1.560 3.403 2.970
```

ΔE to the lowest computed polymorph	0	meV/atom
crystal system	hexagonal
calculated formation energy	0.05	eV per atom

***

# 24
Density functional theory data (PBE-GGA) for a relaxed structure of Hf2ZrPb.

```
4
Lattice="0.000 3.552 3.552 3.552 0.000 3.552 3.552 3.552 0.000" Properties=species:S:1:pos:R:3 pbc="T T T"
Pb 3.552 3.552 3.552
Hf 1.776 1.776 1.776
Hf 5.329 5.329 5.329
Zr 0.000 0.000 0.000
```

ΔE to the lowest computed polymorph	269	meV/atom
crystal system	cubic
calculated formation energy	0.14	eV per atom

***

# 25
Density functional theory data (PBE-GGA) for a relaxed structure of NaPrPa2O8.

```
12
Lattice="5.885 0.000 0.000 -2.942 5.096 0.000 0.000 0.000 5.707" Properties=species:S:1:pos:R:3 pbc="T T T"
Na 0.000 0.000 0.000
Pr 0.000 0.000 2.854
Pa 2.942 1.699 0.459
Pa 0.000 3.398 5.249
O 3.661 3.307 4.692
O 1.190 1.516 4.692
O 3.976 0.273 4.692
O -0.718 1.789 1.015
O 1.752 3.580 1.015
O -1.034 4.824 1.015
O 2.942 1.699 2.440
O 0.000 3.398 3.267
```

formation energy without anion corrections	-2.483	eV/atom
crystal system	trigonal

***

The following DOS(E_F) values (in states/eV/f.u.) correspond, in order, to the records above: 5.64 7.27 6.63 3.57 4.64 1.08 13.37 2.76 2.27 2.19 4.57 2.71 1.56 0.00 2.24 8.83 7.59 2.45 9.86 0.05 1.95 0.00 13.18 7.43 5.08.